This record from the Alexandria database describes an optimized crystal structure of TaTlP2S. The functional is GGA-PBEsol.

Output
relative energy among the computed polymorphs: 8.872 eV/f.u.
D(E_F): 1.108 states/eV per atom
uncorrected energy: -4.480 eV/atom
formation energy from raw total energies: 1.7501 eV per atom
symmetry: P4/mmm
V: 22.77 Å³ per atom
M_tot: 1.20 μB/cell

a = 4.8420 Å, b = 4.8420 Å, c = 4.8562 Å
α = 90.00°, β = 90.00°, γ = 90.00°
Closest atoms and distances in Å follow each position.
Positions (direct):
Ta (0.0000, 0.0000, 0.0000)  4 S 3.42, 8 P 3.43
Tl (0.5000, 0.5000, 0.5000)  4 P 2.42, 2 S 2.43
P (0.0000, 0.5000, 0.5000)  2 Tl 2.42
P (0.5000, 0.0000, 0.5000)  2 Tl 2.42
S (0.5000, 0.5000, 0.0000)  2 Tl 2.43

---

This record from the Alexandria database describes an optimized crystal structure of KW3O. The functional is GGA-PBEsol.

Output
D(E_F): 0.496 states/eV per atom
uncorrected energy: -8.363 eV/atom
formation energy from raw total energies: 1.1982 eV per atom
symmetry: Pm-3m
V: 15.51 Å³ per atom
M_tot: 0.00 μB/cell

a = 4.2645 Å, b = 4.2645 Å, c = 4.2645 Å
α = 90.00°, β = 90.00°, γ = 90.00°
Closest atoms and distances in Å follow each position.
Positions (direct):
K (0.0000, 0.0000, 0.0000)  12 W 3.02
W (0.0000, 0.5000, 0.5000)  2 O 2.13
W (0.5000, 0.0000, 0.5000)  2 O 2.13
W (0.5000, 0.5000, 0.0000)  2 O 2.13
O (0.5000, 0.5000, 0.5000)  6 W 2.13

---

This record from the Alexandria database describes an optimized crystal structure of Cr4CoTc. The functional is GGA-PBEsol.

Output
D(E_F): 1.024 states/eV per atom
uncorrected energy: -9.858 eV/atom
symmetry: F-43m
V: 11.61 Å³ per atom
M_tot: 0.01 μB/cell
E_form: 13 kJ/mol of atoms

a = 4.6184 Å, b = 4.6184 Å, c = 4.6184 Å
α = 60.00°, β = 60.00°, γ = 60.00°
Closest atoms and distances in Å follow each position.
Positions (direct):
Cr (0.1252, 0.1252, 0.1252)  6 Cr 2.31
Cr (0.1252, 0.1252, 0.6244)  6 Cr 2.31
Cr (0.1252, 0.6244, 0.1252)  6 Cr 2.31
Cr (0.6244, 0.1252, 0.1252)  6 Cr 2.31
Co (0.7500, 0.7500, 0.7500)  12 Cr 2.71, 4 Tc 2.83
Tc (0.5000, 0.5000, 0.5000)  12 Cr 2.71, 4 Co 2.83